This record from Alexandria describes Nd2Be2PdPt5 after structural relaxation. The functional is PBE-GGA.

Computed properties:
**Final energy**: -121.41 eV for the cell shown
**N(E_F)**: 0.436 states/eV/atom

Lattice parameters (Å, degrees): 3.678 9.533 9.533 90.00 90.00 90.00
Atoms (fractional coordinates):
1 Nd 0.000 0.683 0.183
2 Nd 0.000 0.317 0.817
3 Nd 0.000 0.183 0.317
4 Nd 0.000 0.817 0.683
5 Be 0.000 0.114 0.614
6 Be 0.000 0.886 0.386
7 Be 0.000 0.614 0.886
8 Be 0.000 0.386 0.114
9 Pd 0.000 0.000 0.000
10 Pd 0.000 0.500 0.500
11 Pt 0.500 0.216 0.065
12 Pt 0.500 0.784 0.935
13 Pt 0.500 0.065 0.784
14 Pt 0.500 0.716 0.435
15 Pt 0.500 0.935 0.216
16 Pt 0.500 0.284 0.565
17 Pt 0.500 0.565 0.716
18 Pt 0.500 0.435 0.284
19 Pt 0.500 0.500 0.000
20 Pt 0.500 0.000 0.500

---

This record from Alexandria describes Nd2BePdPt6 after structural relaxation. The functional is PBE-GGA.

Computed properties:
**Final energy**: -61.52 eV for the cell shown
**N(E_F)**: 0.643 states/eV/atom

Lattice parameters (Å, degrees): 5.548 8.032 5.541 69.85 60.01 89.95
Atoms (fractional coordinates):
1 Nd 0.706 0.121 0.586
2 Nd 0.294 0.879 0.414
3 Be 0.500 0.500 0.000
4 Pd 0.000 0.000 0.000
5 Pt 0.262 0.294 0.475
6 Pt 0.738 0.706 0.031
7 Pt 0.232 0.706 0.031
8 Pt 0.768 0.294 0.969
9 Pt 0.262 0.294 0.969
10 Pt 0.738 0.706 0.525

---

This record from Alexandria describes Nd2Be4PdPt3 after structural relaxation. The functional is PBE-GGA.

Computed properties:
**Final energy**: -55.66 eV for the cell shown
**N(E_F)**: 0.644 states/eV/atom

Lattice parameters (Å, degrees): 4.081 4.081 9.654 90.00 90.00 90.00
Atoms (fractional coordinates):
1 Nd 0.500 0.000 0.248
2 Nd 0.000 0.500 0.752
3 Be 0.500 0.500 0.000
4 Be 0.000 0.000 0.000
5 Be 0.500 0.000 0.623
6 Be 0.000 0.500 0.377
7 Pd 0.500 0.500 0.500
8 Pt 0.000 0.000 0.500
9 Pt 0.500 0.000 0.876
10 Pt 0.000 0.500 0.124

---

This record from Alexandria describes Nd2ScBePd6 after structural relaxation. The functional is PBE-GGA.

Computed properties:
**Final energy**: -56.86 eV for the cell shown
**N(E_F)**: 0.439 states/eV/atom

Lattice parameters (Å, degrees): 5.928 7.387 7.388 47.33 66.26 89.93
Atoms (fractional coordinates):
1 Nd 0.738 0.261 0.523
2 Nd 0.262 0.739 0.477
3 Sc 0.000 0.000 0.000
4 Be 0.500 0.500 0.000
5 Pd 0.263 0.216 0.472
6 Pd 0.782 0.736 0.953
7 Pd 0.263 0.736 0.952
8 Pd 0.737 0.264 0.048
9 Pd 0.218 0.264 0.047
10 Pd 0.737 0.784 0.528

---

This record from Alexandria describes Nd2Be3Si4Pd after structural relaxation. The functional is PBE-GGA.

Computed properties:
**N(E_F)**: 0.318 states/eV/atom
**Raw formation energy**: -0.515 eV/atom

Lattice parameters (Å, degrees): 4.021 4.021 9.892 90.00 90.00 90.00
Atoms (fractional coordinates):
1 Nd 0.500 0.000 0.244
2 Nd 0.000 0.500 0.756
3 Be 0.000 0.000 0.500
4 Be 0.500 0.000 0.871
5 Be 0.000 0.500 0.129
6 Si 0.500 0.500 0.000
7 Si 0.000 0.000 0.000
8 Si 0.500 0.000 0.638
9 Si 0.000 0.500 0.362
10 Pd 0.500 0.500 0.500

---

This record from Alexandria describes Nd2BeSi4Pd3 after structural relaxation. The functional is PBE-GGA.

Computed properties:
**N(E_F)**: 0.321 states/eV/atom
**Raw formation energy**: -0.771 eV/atom

Lattice parameters (Å, degrees): 4.183 4.183 10.031 90.00 90.00 90.00
Atoms (fractional coordinates):
1 Nd 0.500 0.000 0.253
2 Nd 0.000 0.500 0.747
3 Be 0.500 0.500 0.500
4 Si 0.500 0.500 0.000
5 Si 0.000 0.000 0.000
6 Si 0.500 0.000 0.629
7 Si 0.000 0.500 0.371
8 Pd 0.000 0.000 0.500
9 Pd 0.500 0.000 0.875
10 Pd 0.000 0.500 0.125

---

This record from Alexandria describes Nd2Be4Si3Pd after structural relaxation. The functional is PBE-GGA.

Computed properties:
**N(E_F)**: 0.404 states/eV/atom
**Raw formation energy**: -0.502 eV/atom

Lattice parameters (Å, degrees): 3.952 3.952 9.848 90.00 90.00 90.00
Atoms (fractional coordinates):
1 Nd 0.500 0.000 0.242
2 Nd 0.000 0.500 0.758
3 Be 0.500 0.500 0.000
4 Be 0.000 0.000 0.000
5 Be 0.500 0.000 0.631
6 Be 0.000 0.500 0.369
7 Si 0.000 0.000 0.500
8 Si 0.500 0.000 0.870
9 Si 0.000 0.500 0.130
10 Pd 0.500 0.500 0.500

---

This record from Alexandria describes Nd2BeSnPd6 after structural relaxation. The functional is PBE-GGA.

Computed properties:
**Final energy**: -54.77 eV for the cell shown
**N(E_F)**: 0.419 states/eV/atom

Lattice parameters (Å, degrees): 5.841 7.441 5.858 66.80 59.96 90.26
Atoms (fractional coordinates):
1 Nd 0.680 0.204 0.557
2 Nd 0.320 0.796 0.443
3 Be 0.500 0.500 0.000
4 Sn 0.000 0.000 0.000
5 Pd 0.205 0.350 0.480
6 Pd 0.795 0.650 0.036
7 Pd 0.324 0.753 0.963
8 Pd 0.676 0.247 0.037
9 Pd 0.205 0.350 0.964
10 Pd 0.795 0.650 0.520

---

Question: Among the records above, which one has the lowest N(E_F)?
Answer: Nd2Be3Si4Pd

---

Question: Which formula does entry 4 have?
Answer: Nd2ScBePd6

---

Question: Which formula does entry 3 have?
Answer: Nd2Be4PdPt3

---

Question: The lowest N(E_F) belongs to which entry?
Answer: Nd2Be3Si4Pd